# 1
VASP calculation (PBE) on an optimized crystal structure of Rb2NbCrI6.

Computed properties:
As for the space group: Fm-3m (225). As for the formation energy (no corrections): -0.6589 eV per atom.

Cell lengths 8.251, 8.251, 8.252 Å; angles 60.01, 60.01, 90.00 degrees
Last column: magnetic moment on the atom in μB.
Element x y z (fractional)
Rb1 0.750 0.250 0.500  0.00
Rb2 0.250 0.750 0.500  0.00
I1 0.249 0.751 0.000  -0.01
I2 0.249 0.249 0.000  -0.01
I3 0.249 0.249 0.502  -0.01
I4 0.751 0.249 0.000  -0.01
I5 0.751 0.751 0.000  -0.01
I6 0.751 0.751 0.498  -0.01
Cr1 0.500 0.500 0.000  3.99
Nb1 0.000 0.000 0.000  2.05

***

# 2
VASP calculation (PBE) on an optimized crystal structure of TiNb3Ga2.

Computed properties:
The value obtained for the excess energy over the best structure of this formula in the dataset is 0.2121 eV/atom. As for the space group: Pnma (62). The value obtained for the formation energy is -0.06 eV per atom.

Cell lengths 2.845, 9.080, 16.225 Å; angles 90.00, 90.00, 90.00 degrees
Element x y z (fractional)
Ga1 0.250 0.477 0.241
Ga2 0.750 0.742 0.997
Ga3 0.750 0.523 0.759
Ga4 0.750 0.242 0.503
Ga5 0.750 0.023 0.741
Ga6 0.250 0.977 0.259
Ga7 0.250 0.258 0.003
Ga8 0.250 0.758 0.497
Nb1 0.750 0.739 0.176
Nb2 0.250 0.469 0.421
Nb3 0.250 0.518 0.914
Nb4 0.250 0.969 0.079
Nb5 0.750 0.482 0.086
Nb6 0.750 0.239 0.324
Nb7 0.250 0.261 0.824
Nb8 0.250 0.761 0.676
Nb9 0.250 0.018 0.586
Nb10 0.750 0.531 0.579
Nb11 0.750 0.982 0.414
Nb12 0.750 0.031 0.921
Ti1 0.250 0.801 0.848
Ti2 0.250 0.301 0.652
Ti3 0.750 0.199 0.152
Ti4 0.750 0.699 0.348

***

# 3
VASP calculation (PBE) on an optimized crystal structure of Ti3PtO.

Computed properties:
As for the space group: P2_1/c (14). As for the formation energy (no corrections): -1.3935 eV per atom.

Cell lengths 21.194, 5.304, 8.349 Å; angles 90.00, 162.47, 90.00 degrees
Element x y z (fractional)
Ti1 0.090 0.367 0.900
Ti2 0.847 0.066 0.731
Ti3 0.347 0.434 0.231
Ti4 0.410 0.867 0.600
Ti5 0.210 0.400 0.582
Ti6 0.790 0.600 0.418
Ti7 0.153 0.934 0.269
Ti8 0.653 0.566 0.769
Ti9 0.910 0.633 0.100
Ti10 0.290 0.900 0.918
Ti11 0.710 0.100 0.082
Ti12 0.590 0.133 0.400
O1 0.524 0.766 0.650
O2 0.024 0.734 0.150
O3 0.976 0.266 0.850
O4 0.476 0.234 0.350
Pt1 0.993 0.827 0.598
Pt2 0.007 0.173 0.402
Pt3 0.507 0.327 0.902
Pt4 0.493 0.673 0.098

***

# 4
VASP calculation (PBE) on an optimized crystal structure of BeFeOs.

Computed properties:
The value obtained for the excess energy over the best structure of this formula in the dataset is 0.4117 eV/atom. As for the space group: P6_3/mmc (194). The value obtained for the formation energy is 0.30 eV per atom.

Cell lengths 4.041, 4.041, 4.964 Å; angles 90.00, 90.00, 120.00 degrees
Element x y z (fractional)
Os1 0.333 0.667 0.750
Os2 0.667 0.333 0.250
Fe1 0.667 0.333 0.750
Fe2 0.333 0.667 0.250
Be1 0.000 0.000 0.500
Be2 0.000 0.000 0.000

***

# 5
VASP calculation (PBE) on an optimized crystal structure of Be2Zn2Ir.

Computed properties:
The value obtained for the excess energy over the best structure of this formula in the dataset is 0.1398 eV/atom. As for the space group: P4/mbm (127). The value obtained for the formation energy is 0.08 eV per atom.

Cell lengths 6.547, 6.547, 2.788 Å; angles 90.00, 90.00, 90.00 degrees
Element x y z (fractional)
Be1 0.327 0.173 0.500
Be2 0.173 0.673 0.500
Be3 0.827 0.327 0.500
Be4 0.673 0.827 0.500
Ir1 0.000 0.000 0.000
Ir2 0.500 0.500 0.000
Zn1 0.870 0.630 0.000
Zn2 0.630 0.130 0.000
Zn3 0.370 0.870 0.000
Zn4 0.130 0.370 0.000

***

# 6
VASP calculation (PBE) on an optimized crystal structure of KGeSeN2.

Computed properties:
The value obtained for the excess energy over the best structure of this formula in the dataset is 1.2022 eV/atom. As for the space group: P4/mmm (123). As for the formation energy (no corrections): 2.0925 eV per atom.

Cell lengths 4.748, 4.748, 6.230 Å; angles 90.00, 90.00, 90.00 degrees
Last column: magnetic moment on the atom in μB.
Element x y z (fractional)
N1 0.500 0.000 0.000  1.67
N2 0.000 0.500 0.000  1.67
Se1 0.000 0.000 0.500  0.19
Ge1 0.500 0.500 0.500  -0.15
K1 0.000 0.000 0.000  0.11

***

In order of appearance, DFT total energy = -37.52; -44.52; -41.65; -22.51; -18.44; -15.39 eV per formula unit.